Compound: ZnIn
Source: the Alexandria database
Functional: PBE
Structure: optimized geometry

Properties
**Final energy**: -15.33 eV per cell
**Calculated volume**: 21.6 Å³ per atom
**Crystal system**: monoclinic
**ΔE_f**: 0.09 eV per atom

Structure (CIF):
```
data_ZnIn
_chemical_formula_sum 'Zn4 In4'
_symmetry_space_group_name_H-M 'C 1 2/m 1'
_symmetry_Int_Tables_number 12
_cell_length_a 8.6049
_cell_length_b 3.3751
_cell_length_c 6.0549
_cell_angle_alpha 90.00
_cell_angle_beta 100.42
_cell_angle_gamma 90.00
loop_
_symmetry_equiv_pos_as_xyz
'x,y,z'
'-x,-y,-z'
'-x,y,-z'
'x,-y,z'
'x+1/2,y+1/2,z'
'-x+1/2,-y+1/2,-z'
'-x+1/2,y+1/2,-z'
'x+1/2,-y+1/2,z'
loop_
_atom_site_label
_atom_site_type_symbol
_atom_site_fract_x
_atom_site_fract_y
_atom_site_fract_z
Zn1 Zn 0.1336 0.0000 0.4205
In1 In 0.1177 0.5000 0.8416
```

---

Compound: ZnIn
Source: the Alexandria database
Functional: PBE
Structure: optimized geometry

Properties
**Final energy**: -3.72 eV per cell
**Calculated volume**: 22.0 Å³ per atom
**Crystal system**: hexagonal
**ΔE_f**: 0.15 eV per atom

Structure (CIF):
```
data_ZnIn
_chemical_formula_sum 'Zn1 In1'
_symmetry_space_group_name_H-M 'P -6 m 2'
_symmetry_Int_Tables_number 187
_symmetry_space_group_name_Hall 'P -6 2'
_cell_length_a 3.4271
_cell_length_b 3.4271
_cell_length_c 4.3346
_cell_angle_alpha 90.00
_cell_angle_beta 90.00
_cell_angle_gamma 120.00
loop_
_atom_site_label
_atom_site_type_symbol
_atom_site_fract_x
_atom_site_fract_y
_atom_site_fract_z
Zn1 Zn 0.0000 0.0000 0.0000
In1 In 0.3333 0.6667 0.5000
```

---

Compound: ZnIn
Source: the Alexandria database
Functional: PBE
Structure: optimized geometry

Properties
**Final energy**: -30.09 eV per cell
**Calculated volume**: 22.8 Å³ per atom
**Crystal system**: tetragonal
**ΔE_f**: 0.13 eV per atom

Structure (CIF):
```
data_ZnIn
_chemical_formula_sum 'Zn8 In8'
_symmetry_space_group_name_H-M 'I 4/m'
_symmetry_Int_Tables_number 87
_symmetry_space_group_name_Hall '-I 4'
_cell_length_a 8.0033
_cell_length_b 8.0033
_cell_length_c 5.6856
_cell_angle_alpha 90.00
_cell_angle_beta 90.00
_cell_angle_gamma 90.00
loop_
_atom_site_label
_atom_site_type_symbol
_atom_site_fract_x
_atom_site_fract_y
_atom_site_fract_z
Zn1 Zn 0.0859 0.7895 0.0000
In1 In 0.0475 0.7050 0.5000
```

---

Compound: ZnIn2
Source: the Alexandria database
Functional: PBE
Structure: optimized geometry

Properties
**Final energy**: -12.96 eV per cell
**Calculated volume**: 24.5 Å³ per atom
**Crystal system**: orthorhombic
**ΔE_f**: 0.09 eV per atom

Structure (CIF):
```
data_ZnIn2
_chemical_formula_sum 'Zn2 In4'
_symmetry_space_group_name_H-M 'P n n m'
_symmetry_Int_Tables_number 58
_cell_length_a 6.3261
_cell_length_b 7.1454
_cell_length_c 3.2543
_cell_angle_alpha 90.00
_cell_angle_beta 90.00
_cell_angle_gamma 90.00
loop_
_symmetry_equiv_pos_as_xyz
'x,y,z'
'-x,-y,-z'
'-x,-y,z'
'x,y,-z'
'x+1/2,-y+1/2,-z+1/2'
'-x+1/2,y+1/2,z+1/2'
'-x+1/2,y+1/2,-z+1/2'
'x+1/2,-y+1/2,z+1/2'
loop_
_atom_site_label
_atom_site_type_symbol
_atom_site_fract_x
_atom_site_fract_y
_atom_site_fract_z
Zn1 Zn 0.0000 0.0000 0.0000
In1 In 0.1053 0.3115 0.5000
```

---

Compound: Zn3In5
Source: the Alexandria database
Functional: PBE
Structure: optimized geometry

Properties
**Final energy**: -33.40 eV per cell
**Calculated volume**: 23.5 Å³ per atom
**Crystal system**: hexagonal
**E above lowest polymorph**: 22.2 meV/atom
**ΔE_f**: 0.10 eV per atom

Structure (CIF):
```
data_Zn3In5
_chemical_formula_sum 'Zn6 In10'
_symmetry_space_group_name_H-M 'P 63/m c m'
_symmetry_Int_Tables_number 193
_symmetry_space_group_name_Hall '-P 6c 2'
_cell_length_a 8.3057
_cell_length_b 8.3057
_cell_length_c 6.2912
_cell_angle_alpha 90.00
_cell_angle_beta 90.00
_cell_angle_gamma 120.00
loop_
_atom_site_label
_atom_site_type_symbol
_atom_site_fract_x
_atom_site_fract_y
_atom_site_fract_z
Zn1 Zn 0.0000 0.4045 0.2500
In1 In 0.0000 0.2316 0.7500
In2 In 0.3333 0.6667 0.0000
```

---

Compound: ZnIn
Source: the Alexandria database
Functional: PBE
Structure: optimized geometry

Properties
**Final energy**: -15.45 eV per cell
**Calculated volume**: 21.5 Å³ per atom
**Crystal system**: orthorhombic
**ΔE_f**: 0.07 eV per atom

Structure (CIF):
```
data_ZnIn
_chemical_formula_sum 'Zn4 In4'
_symmetry_space_group_name_H-M 'P n m a'
_symmetry_Int_Tables_number 62
_cell_length_a 7.0756
_cell_length_b 4.3021
_cell_length_c 5.6510
_cell_angle_alpha 90.00
_cell_angle_beta 90.00
_cell_angle_gamma 90.00
loop_
_symmetry_equiv_pos_as_xyz
'x,y,z'
'-x,-y,-z'
'-x+1/2,-y,z+1/2'
'x+1/2,y,-z+1/2'
'x+1/2,-y+1/2,-z+1/2'
'-x+1/2,y+1/2,z+1/2'
'-x,y+1/2,-z'
'x,-y+1/2,z'
loop_
_atom_site_label
_atom_site_type_symbol
_atom_site_fract_x
_atom_site_fract_y
_atom_site_fract_z
Zn1 Zn 0.0418 0.2500 0.1262
In1 In 0.1622 0.2500 0.6134
```

---

Compound: ZnIn2
Source: the Alexandria database
Functional: PBE
Structure: optimized geometry

Properties
**Final energy**: -26.13 eV per cell
**Calculated volume**: 23.4 Å³ per atom
**Crystal system**: monoclinic
**ΔE_f**: 0.07 eV per atom

Structure (CIF):
```
data_ZnIn2
_chemical_formula_sum 'Zn4 In8'
_symmetry_space_group_name_H-M 'C 1 2/m 1'
_symmetry_Int_Tables_number 12
_cell_length_a 11.1699
_cell_length_b 3.3629
_cell_length_c 8.5370
_cell_angle_alpha 90.00
_cell_angle_beta 118.96
_cell_angle_gamma 90.00
loop_
_symmetry_equiv_pos_as_xyz
'x,y,z'
'-x,-y,-z'
'-x,y,-z'
'x,-y,z'
'x+1/2,y+1/2,z'
'-x+1/2,-y+1/2,-z'
'-x+1/2,y+1/2,-z'
'x+1/2,-y+1/2,z'
loop_
_atom_site_label
_atom_site_type_symbol
_atom_site_fract_x
_atom_site_fract_y
_atom_site_fract_z
Zn1 Zn 0.2019 0.0000 0.0855
In1 In 0.0092 0.5000 0.2024
In2 In 0.1606 0.0000 0.5910
```

---

Compound: ZnIn
Source: the Alexandria database
Functional: PBE
Structure: optimized geometry

Properties
**Final energy**: -7.54 eV per cell
**Calculated volume**: 22.0 Å³ per atom
**Crystal system**: trigonal
**ΔE_f**: 0.12 eV per atom

Structure (CIF):
```
data_ZnIn
_chemical_formula_sum 'Zn2 In2'
_symmetry_space_group_name_H-M 'P -3 m 1'
_symmetry_Int_Tables_number 164
_symmetry_space_group_name_Hall '-P 3 2"'
_cell_length_a 3.2610
_cell_length_b 3.2610
_cell_length_c 9.5408
_cell_angle_alpha 90.00
_cell_angle_beta 90.00
_cell_angle_gamma 120.00
loop_
_atom_site_label
_atom_site_type_symbol
_atom_site_fract_x
_atom_site_fract_y
_atom_site_fract_z
Zn1 Zn 0.3333 0.6667 0.0993
In1 In 0.3333 0.6667 0.6522
```

---

Q: What is the calculated volume in the third record?
A: 22.8 Å³ per atom